1.
This record from the Open Quantum Materials Database describes an optimized crystal structure of ThScPa. The functional is PBE. Values from VASP.

```
&SYSTEM
  ibrav = 0, nat = 3, ntyp = 3
/
ATOMIC_SPECIES
Th 232.04 Th.upf
Sc 44.96 Sc.upf
Pa 231.04 Pa.upf
CELL_PARAMETERS angstrom
0.000 3.583 3.583
3.583 0.000 3.583
3.583 3.583 0.000
ATOMIC_POSITIONS angstrom
Th 0.000 0.000 0.000
Sc 5.375 5.375 5.375
Pa 3.583 3.583 3.583
```

- DFT formation energy: 892.9 meV/atom
- Energy above the most stable polymorph in this dataset: 0.00 eV/f.u.

=====

2.
This record from the Open Quantum Materials Database describes an optimized crystal structure of LuTlZn. The functional is PBE. Values from VASP.

```
&SYSTEM
  ibrav = 0, nat = 3, ntyp = 3
/
ATOMIC_SPECIES
Lu 174.97 Lu.upf
Tl 204.38 Tl.upf
Zn 65.41 Zn.upf
CELL_PARAMETERS angstrom
0.000 3.359 3.359
3.359 0.000 3.359
3.359 3.359 0.000
ATOMIC_POSITIONS angstrom
Lu 0.000 0.000 0.000
Tl 1.679 1.679 1.679
Zn 3.359 3.359 3.359
```

- Electronic total energy: -0.203 Ry per atom

=====

3.
This record from the Open Quantum Materials Database describes an optimized crystal structure of TcBNO. The functional is PBE. Values from VASP.

```
&SYSTEM
  ibrav = 0, nat = 16, ntyp = 4
/
ATOMIC_SPECIES
Tc 98.00 Tc.upf
B 10.81 B.upf
N 14.01 N.upf
O 16.00 O.upf
CELL_PARAMETERS angstrom
4.767 0.000 0.000
0.000 6.361 0.000
0.000 0.000 4.488
ATOMIC_POSITIONS angstrom
Tc 0.329 0.541 0.000
Tc 2.054 0.541 2.244
Tc 2.712 5.820 0.000
Tc 4.438 5.820 2.244
B 0.496 3.686 4.397
B 1.888 3.686 2.153
B 2.879 2.675 4.397
B 4.271 2.675 2.153
N 0.447 3.753 2.791
N 1.936 3.753 0.547
N 2.831 2.608 2.791
N 4.319 2.608 0.547
O 0.164 1.396 2.627
O 2.220 1.396 0.383
O 2.547 4.965 2.627
O 4.603 4.965 0.383
```

- Energy above the most stable polymorph in this dataset: 0.25 eV/f.u.

=====

4.
This record from the Open Quantum Materials Database describes an optimized crystal structure of NbTePO. The functional is PBE. Values from VASP.

```
&SYSTEM
  ibrav = 0, nat = 8, ntyp = 4
/
ATOMIC_SPECIES
Nb 92.91 Nb.upf
Te 127.60 Te.upf
P 30.97 P.upf
O 16.00 O.upf
CELL_PARAMETERS angstrom
3.966 0.000 0.000
0.000 3.966 0.000
0.000 0.000 10.112
ATOMIC_POSITIONS angstrom
Nb 0.991 0.991 0.876
Nb 2.974 2.974 9.236
Te 0.991 2.974 5.056
Te 2.974 0.991 5.056
P 0.991 0.991 8.293
P 2.974 2.974 1.818
O 0.991 2.974 0.000
O 2.974 0.991 0.000
```

- Energy above the most stable polymorph in this dataset: 2.17 eV/f.u.

=====

5.
This record from the Open Quantum Materials Database describes an optimized crystal structure of SrDyAl. The functional is PBE. Values from VASP.

```
&SYSTEM
  ibrav = 0, nat = 3, ntyp = 3
/
ATOMIC_SPECIES
Sr 87.62 Sr.upf
Dy 162.50 Dy.upf
Al 26.98 Al.upf
CELL_PARAMETERS angstrom
0.000 3.767 3.767
3.767 0.000 3.767
3.767 3.767 0.000
ATOMIC_POSITIONS angstrom
Sr 0.000 0.000 0.000
Dy 3.767 3.767 3.767
Al 5.651 5.651 5.651
```

- Energy above the most stable polymorph in this dataset: 0.00 eV/f.u.

=====

6.
This record from the Open Quantum Materials Database describes an optimized crystal structure of Ho3In2Ag. The functional is PBE. Values from VASP.

```
&SYSTEM
  ibrav = 0, nat = 6, ntyp = 3
/
ATOMIC_SPECIES
Ho 164.93 Ho.upf
In 114.82 In.upf
Ag 107.87 Ag.upf
CELL_PARAMETERS angstrom
3.584 0.000 0.000
0.000 3.584 0.000
0.000 0.000 11.831
ATOMIC_POSITIONS angstrom
Ho 0.000 0.000 0.000
Ho 0.000 0.000 4.097
Ho 0.000 0.000 7.734
In 1.792 1.792 2.065
In 1.792 1.792 9.766
Ag 1.792 1.792 5.916
```

- Electronic total energy: -0.301 Ry per atom

=====

7.
This record from the Open Quantum Materials Database describes an optimized crystal structure of PmNiAs. The functional is PBE. Values from VASP.

```
&SYSTEM
  ibrav = 0, nat = 3, ntyp = 3
/
ATOMIC_SPECIES
Pm 145.00 Pm.upf
Ni 58.69 Ni.upf
As 74.92 As.upf
CELL_PARAMETERS angstrom
4.101 0.000 0.000
-2.051 3.552 0.000
0.000 0.000 4.020
ATOMIC_POSITIONS angstrom
Pm 0.000 0.000 0.000
Ni 2.051 1.184 2.010
As 0.000 2.368 2.010
```

- Energy above the most stable polymorph in this dataset: 0.00 eV/f.u.

=====

8.
This record from the Open Quantum Materials Database describes an optimized crystal structure of Nd3Sm3Te2Pd. The functional is PBE. Values from VASP.

```
&SYSTEM
  ibrav = 0, nat = 9, ntyp = 4
/
ATOMIC_SPECIES
Nd 144.24 Nd.upf
Sm 150.36 Sm.upf
Te 127.60 Te.upf
Pd 106.42 Pd.upf
CELL_PARAMETERS angstrom
8.698 0.000 0.000
-4.349 7.533 0.000
0.000 0.000 4.012
ATOMIC_POSITIONS angstrom
Nd -3.272 5.667 0.000
Nd 1.077 1.865 0.000
Nd 6.544 0.000 0.000
Sm -1.792 3.104 2.006
Sm 3.584 0.000 2.006
Sm 2.557 4.429 2.006
Te 0.000 5.022 0.000
Te 4.349 2.511 0.000
Pd 0.000 0.000 2.006
```

- Energy above the most stable polymorph in this dataset: 0.29 eV/f.u.

=====

9.
This record from the Open Quantum Materials Database describes an optimized crystal structure of LuFeBiAu. The functional is PBE. Values from VASP.

```
&SYSTEM
  ibrav = 0, nat = 4, ntyp = 4
/
ATOMIC_SPECIES
Lu 174.97 Lu.upf
Fe 55.84 Fe.upf
Bi 208.98 Bi.upf
Au 196.97 Au.upf
CELL_PARAMETERS angstrom
0.000 3.484 3.484
3.484 0.000 3.484
3.484 3.484 0.000
ATOMIC_POSITIONS angstrom
Lu 0.000 0.000 0.000
Fe 3.484 3.484 3.484
Bi 1.742 1.742 1.742
Au 5.225 5.225 5.225
```

- Energy above the most stable polymorph in this dataset: 0.00 eV/f.u.

=====

10.
This record from the Open Quantum Materials Database describes an optimized crystal structure of ErSi2Pd. The functional is PBE. Values from VASP.

```
&SYSTEM
  ibrav = 0, nat = 8, ntyp = 3
/
ATOMIC_SPECIES
Er 167.26 Er.upf
Si 28.09 Si.upf
Pd 106.42 Pd.upf
CELL_PARAMETERS angstrom
5.144 0.000 0.000
0.000 3.595 0.000
-0.035 0.000 7.850
ATOMIC_POSITIONS angstrom
Er 0.642 0.899 1.530
Er 4.466 2.697 6.320
Si 0.804 2.697 3.793
Si 1.886 2.697 7.402
Si 3.222 0.899 0.448
Si 4.304 0.899 4.057
Pd 1.943 0.899 5.326
Pd 3.165 2.697 2.525
```

- Electronic total energy: -0.417 Ry per atom

=====

11.
This record from the Open Quantum Materials Database describes an optimized crystal structure of Pr2MgNi9. The functional is PBE. Values from VASP.

```
&SYSTEM
  ibrav = 0, nat = 12, ntyp = 3
/
ATOMIC_SPECIES
Pr 140.91 Pr.upf
Mg 24.30 Mg.upf
Ni 58.69 Ni.upf
CELL_PARAMETERS angstrom
2.482 1.433 8.231
-2.482 1.433 8.231
0.000 -2.865 8.231
ATOMIC_POSITIONS angstrom
Pr 0.000 0.000 3.346
Pr 0.000 0.000 21.346
Mg 0.000 0.000 0.000
Ni -1.235 -0.713 10.180
Ni 0.000 0.000 8.221
Ni 0.000 -1.426 14.512
Ni -1.235 0.713 14.512
Ni 0.000 0.000 12.346
Ni 1.235 -0.713 10.180
Ni 0.000 1.426 10.180
Ni 0.000 0.000 16.471
Ni 1.235 0.713 14.512
```

- Electronic total energy: -0.390 Ry per atom

=====

12.
This record from the Open Quantum Materials Database describes an optimized crystal structure of Cs5PaO5. The functional is PBE. Values from VASP.

```
&SYSTEM
  ibrav = 0, nat = 11, ntyp = 3
/
ATOMIC_SPECIES
Cs 132.91 Cs.upf
Pa 231.04 Pa.upf
O 16.00 O.upf
CELL_PARAMETERS angstrom
6.855 -2.657 0.000
6.855 2.657 0.000
-2.761 0.000 7.659
ATOMIC_POSITIONS angstrom
Cs 0.000 0.000 0.000
Cs 3.816 0.000 1.426
Cs 2.646 0.000 5.142
Cs 8.304 0.000 2.517
Cs 7.134 0.000 6.233
Pa -1.380 0.000 3.830
O -0.543 0.000 5.815
O 0.600 0.000 2.972
O 5.475 0.000 3.830
O 10.350 0.000 4.687
O 11.493 0.000 1.844
```

- Electronic total energy: -0.386 Ry per atom

=====

no.,size of the total moment (μB per atom)
1,0.21
2,0.00
3,0.00
4,0.00
5,0.00
6,0.01
7,0.00
8,0.00
9,0.73
10,0.00
11,0.14
12,0.00